Record 1
This record from Alexandria via LeMat-Bulk describes a relaxed structure of Ca2CrOs. The functional is GGA-PBE.

The calculation puts the energy above the lowest structure with this stoichiometry at 505 meV/atom. As for the formation energy: 2.9 eV/f.u. As for the space group: No. 123.

Cell lengths 4.433, 4.433, 4.349 Å; angles 90.00, 90.00, 90.00 degrees
Each line ends with the local moment (μB).
Fractional coordinates of all 4 atoms:
Ca: 0.000 0.000 0.000  0.03
Os: 0.000 0.500 0.500  -0.33
Ca: 0.500 0.500 0.000  0.03
Cr: 0.500 0.000 0.500  3.65

---

Record 2
This record from Alexandria via LeMat-Bulk describes a relaxed structure of CaCr2Os. The functional is GGA-PBE.

The calculation puts the energy above the lowest structure with this stoichiometry at 139 meV/atom. As for the formation energy: 2.3 eV/f.u. As for the space group: No. 6.

Cell lengths 3.832, 2.897, 6.560 Å; angles 74.49, 90.00, 90.00 degrees
Each line ends with the local moment (μB).
Fractional coordinates of all 4 atoms:
Ca: 0.500 0.776 0.747  0.04
Os: 0.000 0.481 0.422  0.23
Cr: 0.000 0.028 0.074  2.25
Cr: 0.500 0.214 0.256  -1.44

---

Record 3
This record from Alexandria via LeMat-Bulk describes a relaxed structure of CaCr2Os. The functional is GGA-PBE.

The calculation puts the energy above the lowest structure with this stoichiometry at 0 meV/atom. As for the formation energy: 1.7 eV/f.u. As for the space group: No. 99.

Cell lengths 3.003, 3.003, 7.578 Å; angles 90.00, 90.00, 90.00 degrees
Each line ends with the local moment (μB).
Fractional coordinates of all 4 atoms:
Ca: 0.500 0.500 0.732  0.04
Cr: 0.000 0.000 0.068  3.04
Cr: 0.500 0.500 0.258  -1.17
Os: 0.000 0.000 0.442  0.39

---

Record 4
This record from Alexandria via LeMat-Bulk describes a relaxed structure of CaCrOs. The functional is GGA-PBE.

The calculation puts the energy above the lowest structure with this stoichiometry at 342 meV/atom. As for the formation energy: 2.3 eV/f.u. As for the space group: No. 156.

Cell lengths 2.903, 2.903, 6.992 Å; angles 90.00, 90.00, 120.00 degrees
Fractional coordinates of all 3 atoms:
Ca: 0.000 0.000 0.999
Cr: 0.667 0.333 0.371
Os: 0.333 0.667 0.630

---

Question: Number 1 is which compound?
Answer: Ca2CrOs